[1]
A geometry-optimized Sc11Ga9Ru4 structure, computed with PBE.

Calculated values
electronic total energy: -6.22 eV per atom
formation energy: -1472 kJ/mol of formula units
size of the total moment: 0.00 μB per formula unit
DOS(E_F): 0.4442 states/eV per atom

```
data_Sc11Ga9Ru4
_chemical_formula_sum 'Sc22 Ga18 Ru8'
_cell_length_a 13.0087
_cell_length_b 19.5602
_cell_length_c 3.4307
_cell_angle_alpha 90.00
_cell_angle_beta 90.00
_cell_angle_gamma 90.00
_symmetry_space_group_name_H-M 'C m m m'
_symmetry_Int_Tables_number 65
_symmetry_space_group_name_Hall '-C 2 2'
loop_
_atom_site_label
_atom_site_type_symbol
_atom_site_fract_x
_atom_site_fract_y
_atom_site_fract_z
Sc1 Sc 0.0000 0.0000 0.0000
Sc2 Sc 0.0000 0.1653 0.0000
Sc3 Sc 0.0000 0.3540 0.0000
Sc4 Sc 0.2208 0.5000 0.0000
Sc5 Sc 0.2471 0.1688 0.0000
Ga1 Ga 0.0000 0.5000 0.5000
Ga2 Ga 0.1138 0.2590 0.5000
Ga3 Ga 0.1374 0.0772 0.5000
Ru1 Ru 0.1376 0.4092 0.5000
```

***

[2]
A geometry-optimized Ce6TcHg2 structure, computed with PBE.

Calculated values
electronic total energy: -5.14 eV per atom
distance to the lowest polymorph of the same formula: 144.5 meV/atom
formation energy: 27 kJ/mol of formula units
size of the total moment: 2.98 μB per formula unit
DOS(E_F): 2.7701 states/eV per atom

```
data_Ce6TcHg2
_chemical_formula_sum 'Ce12 Tc2 Hg4'
_cell_length_a 14.5622
_cell_length_b 6.8907
_cell_length_c 5.6074
_cell_angle_alpha 90.00
_cell_angle_beta 112.15
_cell_angle_gamma 90.00
_symmetry_space_group_name_H-M 'C 1 2/m 1'
_symmetry_Int_Tables_number 12
loop_
_symmetry_equiv_pos_as_xyz
'x,y,z'
'-x,-y,-z'
'-x,y,-z'
'x,-y,z'
'x+1/2,y+1/2,z'
'-x+1/2,-y+1/2,-z'
'-x+1/2,y+1/2,-z'
'x+1/2,-y+1/2,z'
loop_
_atom_site_label
_atom_site_type_symbol
_atom_site_fract_x
_atom_site_fract_y
_atom_site_fract_z
Ce1 Ce 0.0000 0.1952 0.0000
Ce2 Ce 0.1403 0.2828 0.6379
Tc1 Tc 0.0000 0.0000 0.5000
Hg1 Hg 0.1788 0.5000 0.1750
```

***

[3]
A geometry-optimized AcSmZnSi structure, computed with PBE.

Calculated values
electronic total energy: -4.23 eV per atom
size of the total moment: 0.00 μB per formula unit
ΔE_f (raw): -0.346 eV per atom
DOS(E_F): 0.6260 states/eV per atom

```
data_AcSmZnSi
_chemical_formula_sum 'Ac4 Sm4 Zn4 Si4'
_cell_length_a 7.4805
_cell_length_b 7.4805
_cell_length_c 7.4805
_cell_angle_alpha 90.00
_cell_angle_beta 90.00
_cell_angle_gamma 90.00
_symmetry_space_group_name_H-M 'F -4 3 m'
_symmetry_Int_Tables_number 216
_symmetry_space_group_name_Hall 'F -4 2 3'
loop_
_atom_site_label
_atom_site_type_symbol
_atom_site_fract_x
_atom_site_fract_y
_atom_site_fract_z
Ac1 Ac 0.0000 0.0000 0.0000
Sm1 Sm 0.0000 0.0000 0.5000
Zn1 Zn 0.2500 0.2500 0.2500
Si1 Si 0.2500 0.2500 0.7500
```